# 1
Entry from Alexandria: a relaxed CeZrGe2 crystal (PBE).

a = 3.7013 Å, b = 3.7013 Å, c = 6.1927 Å
α = 90.00°, β = 90.00°, γ = 90.00°
With the nearest neighbours (Å) after each atom.
Fractional coordinates of all 4 atoms:
Zr: 0.5000 0.5000 0.0000  8 Ge 2.93, 2 Ce 3.10
Ge: 0.0000 0.0000 0.7879  1 Ge 2.63, 4 Zr 2.93
Ge: 0.0000 0.0000 0.2121  1 Ge 2.63, 4 Zr 2.93
Ce: 0.5000 0.5000 0.5000  2 Zr 3.10, 8 Ge 3.17

Results
**Space-group type**: No. 123
**DOS(E_F)**: 5.5 states/eV per cell
**Crystal system**: tetragonal
**Energy of formation**: -0.626 eV/atom
**Final energy**: -26.22 eV for the cell shown

=====

# 2
Entry from Alexandria: a relaxed SrTbAgF6 crystal (PBE).

a = 6.0334 Å, b = 6.0334 Å, c = 10.5278 Å
α = 90.00°, β = 90.00°, γ = 120.00°
With the nearest neighbours (Å) after each atom.
Fractional coordinates of all 18 atoms:
Sr: 0.0000 0.0000 0.5000  6 F 2.46
Sr: 0.0000 0.0000 0.0000  6 F 2.46
F: 0.3142 0.9614 0.6330  1 Tb 2.21, 1 Sr 2.46
F: 0.6472 0.9614 0.8670  1 Tb 2.21, 1 Sr 2.46
F: 0.6472 0.6858 0.6330  1 Tb 2.21, 1 Sr 2.46
F: 0.3528 0.0386 0.1330  1 Tb 2.21, 1 Sr 2.46
F: 0.3142 0.3528 0.8670  1 Tb 2.21, 1 Sr 2.46
F: 0.0386 0.6858 0.8670  1 Tb 2.21, 1 Sr 2.46
F: 0.9614 0.6472 0.3670  1 Tb 2.21, 1 Sr 2.46
F: 0.6858 0.6472 0.1330  1 Tb 2.21, 1 Sr 2.46
F: 0.0386 0.3528 0.6330  1 Tb 2.21, 1 Sr 2.46
F: 0.6858 0.0386 0.3670  1 Tb 2.21, 1 Sr 2.46
F: 0.9614 0.3142 0.1330  1 Tb 2.21, 1 Sr 2.46
F: 0.3528 0.3142 0.3670  1 Tb 2.21, 1 Sr 2.46
Tb: 0.3333 0.6667 0.7500  6 F 2.21
Tb: 0.6667 0.3333 0.2500  6 F 2.21
Ag: 0.3333 0.6667 0.2500  6 F 2.51
Ag: 0.6667 0.3333 0.7500  6 F 2.51

Results
**Space-group type**: No. 163
**DOS(E_F)**: 0.0 states/eV per cell
**Crystal system**: trigonal
**Final energy**: -100.59 eV for the cell shown
**E_form (uncorrected)**: -3323 meV/atom